Entry 1:
12
Lattice="3.208 1.852 9.685 -3.208 1.852 9.685 0.000 -3.704 9.685" Properties=species:S:1:pos:R:3 comment="TmTlZn2Cl8 PBE optimized geometry" magmom_total_mub_per_atom=0.000 space_group="R-3 (148)" crystal_system=trigonal final_energy_ev_per_atom=-3.48 density_g_cm3=3.79 pbc="T T T"
Tm 0.000 0.000 0.000
Tl 0.000 0.000 14.527
Zn 0.000 0.000 7.326
Zn 0.000 0.000 21.728
Cl -2.120 0.034 11.227
Cl 0.000 0.000 5.117
Cl -1.089 -1.819 17.827
Cl 1.030 -1.853 11.227
Cl -1.030 1.853 17.827
Cl 1.089 1.819 11.227
Cl 0.000 0.000 23.937
Cl 2.120 -0.034 17.827

Entry 2:
18
Lattice="6.678 0.000 0.000 -3.339 5.784 0.000 0.000 0.000 14.242" Properties=species:S:1:pos:R:3 comment="TmTlZnCl6 PBE optimized geometry" magmom_total_mub_per_atom=0.000 space_group="P-31c (163)" crystal_system=trigonal final_energy_ev_per_atom=-3.75 density_g_cm3=3.93 pbc="T T T"
Tm 0.000 3.856 3.560
Tm 3.339 1.928 10.681
Tl 0.000 0.000 0.000
Tl 0.000 0.000 7.121
Zn 0.000 3.856 10.681
Zn 3.339 1.928 3.560
Cl -1.184 2.200 9.222
Cl -2.026 3.659 12.141
Cl 1.184 2.200 12.141
Cl -0.842 5.709 9.222
Cl 2.497 0.075 2.101
Cl 1.313 2.125 5.020
Cl 2.026 3.659 9.222
Cl 0.842 5.709 12.141
Cl 4.182 0.075 5.020
Cl 2.156 3.584 2.101
Cl 5.365 2.125 2.101
Cl 4.523 3.584 5.020

Entry 3:
32
Lattice="13.228 0.000 0.000 0.000 8.845 0.000 0.000 0.000 8.286" Properties=species:S:1:pos:R:3 comment="UTl2Cl5 PBE optimized geometry" magmom_total_mub_per_atom=0.375 space_group="Pnma (62)" crystal_system=orthorhombic final_energy_ev_per_atom=-4.54 density_g_cm3=5.65 pbc="T T T"
U 0.028 2.211 0.555
U 6.586 6.634 4.697
U 6.642 2.211 3.588
U 13.200 6.634 7.731
Tl 2.257 0.028 4.525
Tl 2.257 4.394 4.525
Tl 4.357 4.451 0.382
Tl 4.357 8.817 0.382
Tl 8.870 0.028 7.904
Tl 8.870 4.394 7.904
Tl 10.971 4.451 3.761
Tl 10.971 8.817 3.761
Cl 0.105 2.211 3.413
Cl 1.020 4.781 1.328
Cl 1.020 8.487 1.328
Cl 2.320 2.211 7.263
Cl 2.652 6.634 6.959
Cl 3.962 2.211 2.816
Cl 4.293 6.634 3.120
Cl 5.594 0.359 5.471
Cl 5.594 4.064 5.471
Cl 6.509 6.634 7.556
Cl 6.719 2.211 0.730
Cl 7.634 4.781 2.815
Cl 7.634 8.487 2.815
Cl 8.934 2.211 5.166
Cl 9.266 6.634 5.470
Cl 10.576 2.211 1.327
Cl 10.907 6.634 1.023
Cl 12.207 0.359 6.958
Cl 12.207 4.064 6.958
Cl 13.122 6.634 4.873

Entry 4:
11
Lattice="4.301 -6.374 0.000 4.301 6.374 0.000 -0.973 0.000 5.397" Properties=species:S:1:pos:R:3 comment="U2TlCl8 PBE optimized geometry" magmom_total_mub_per_atom=0.455 space_group="C2/m (12)" crystal_system=monoclinic final_energy_ev_per_atom=-5.20 density_g_cm3=5.41 pbc="T T T"
U 4.301 4.080 0.000
U 4.301 -4.080 0.000
Tl 3.815 0.000 2.699
Cl 0.581 0.000 1.498
Cl 1.753 1.751 4.998
Cl 3.815 3.323 2.699
Cl 1.753 -1.751 4.998
Cl 5.876 1.751 0.399
Cl 3.815 -3.323 2.699
Cl 5.876 -1.751 0.399
Cl 7.048 0.000 3.900

Entry 5:
19
Lattice="6.959 4.018 4.404 -6.959 4.018 4.404 0.000 -8.036 4.404" Properties=species:S:1:pos:R:3 comment="UTl6Cl12 PBE optimized geometry" magmom_total_mub_per_atom=0.032 space_group="R-3 (148)" crystal_system=trigonal final_energy_ev_per_atom=-3.67 density_g_cm3=4.25 pbc="T T T"
U 0.000 0.000 0.000
Tl -1.412 -2.844 5.014
Tl -1.757 2.644 5.014
Tl -3.169 -0.199 8.197
Tl 3.168 0.199 5.014
Tl 1.757 -2.644 8.197
Tl 1.412 2.844 8.197
Cl -6.474 -2.017 7.369
Cl -1.490 -6.614 5.841
Cl -2.842 -0.217 5.163
Cl -4.983 4.598 5.841
Cl 1.609 -2.353 5.163
Cl -1.233 -2.570 8.048
Cl 1.233 2.570 5.163
Cl -1.609 2.353 8.048
Cl 4.983 -4.598 7.369
Cl 2.842 0.217 8.048
Cl 1.490 6.614 7.369
Cl 6.474 2.017 5.841

Entry 6:
16
Lattice="13.733 0.000 0.000 0.000 7.769 0.000 -4.033 0.000 6.644" Properties=species:S:1:pos:R:3 comment="UTl2Cl5 PBE optimized geometry" magmom_total_mub_per_atom=0.375 space_group="Cm (8)" crystal_system=monoclinic final_energy_ev_per_atom=-4.44 density_g_cm3=3.86 pbc="T T T"
U 0.000 0.000 0.000
U 6.866 3.885 0.000
Tl 1.151 0.000 5.008
Tl 2.938 3.885 2.122
Tl 8.018 3.885 5.008
Tl 9.804 0.000 2.122
Cl 1.869 0.000 1.801
Cl 5.129 2.037 0.889
Cl 5.129 5.732 0.889
Cl 3.442 2.086 4.705
Cl 3.442 5.683 4.705
Cl 8.736 3.885 1.801
Cl 11.995 1.848 0.889
Cl 11.995 5.922 0.889
Cl 10.308 1.799 4.705
Cl 10.308 5.971 4.705

Entry 7:
14
Lattice="6.229 -4.338 0.000 6.229 4.338 0.000 -4.427 0.000 9.774" Properties=species:S:1:pos:R:3 comment="UTlCl5 PBE optimized geometry" magmom_total_mub_per_atom=0.286 space_group="C2/c (15)" crystal_system=monoclinic final_energy_ev_per_atom=-4.80 density_g_cm3=3.90 pbc="T T T"
U 0.000 0.000 0.000
U -2.214 0.000 4.887
Tl 2.909 0.296 7.331
Tl 5.122 -0.296 2.444
Cl 2.909 3.767 7.331
Cl -0.038 0.725 6.030
Cl 5.410 1.863 0.051
Cl 2.175 -0.725 1.143
Cl 4.835 1.863 4.836
Cl 3.196 -1.863 4.938
Cl 5.856 0.725 8.631
Cl 2.621 -1.863 9.723
Cl 8.069 -0.725 3.744
Cl 5.122 -3.767 2.444

Entry 8:
28
Lattice="-6.176 6.202 6.975 6.176 -6.202 6.975 6.176 6.202 -6.975" Properties=species:S:1:pos:R:3 comment="U2TlCl11 PBE optimized geometry" magmom_total_mub_per_atom=0.143 space_group="Ibam (72)" crystal_system=orthorhombic final_energy_ev_per_atom=-4.78 density_g_cm3=3.33 pbc="T T T"
U 1.932 1.938 0.000
U 1.932 -1.938 6.975
U 4.244 8.139 0.000
U 4.244 4.264 6.975
Tl 6.176 0.000 3.487
Tl 0.000 6.202 3.487
Cl 0.000 0.000 0.000
Cl 9.156 -0.681 1.784
Cl 6.848 3.008 -1.784
Cl 6.848 -3.008 5.190
Cl 3.196 0.681 1.784
Cl 9.840 2.520 0.000
Cl 3.664 3.682 0.000
Cl 3.196 -0.681 5.191
Cl 6.848 3.008 1.784
Cl 0.672 3.194 1.784
Cl 2.980 6.882 -1.784
Cl 0.000 0.000 6.975
Cl 3.196 -0.681 8.758
Cl 5.504 3.008 5.190
Cl -0.672 3.194 5.190
Cl 2.980 6.882 1.784
Cl 2.512 2.520 6.975
Cl -3.664 3.682 6.975
Cl 2.980 5.521 5.191
Cl -0.672 9.209 1.784
Cl -0.672 3.194 8.759
Cl -2.980 6.882 5.191

Let's list raw formation energy in order: -17.66 -14.52 -11.04 -17.53 -22.11 -10.30 -10.74 -21.62 eV/f.u..